No. 1
Compound: Li3YAg4
Source: the Alexandria database
Functional: PBE
Structure: optimized geometry

calculated density: 6.0 g/cm³
space-group type: Pmma
E_form: -0.205 eV/atom
DOS at the Fermi energy: 5.6 states/eV per cell

Lattice parameters (Å, degrees): 4.8443 6.5669 9.4334 90.00 90.00 90.00
Fractional coordinates of all 16 atoms:
Li 0.4060 0.0000 0.2500
Li 0.0000 0.0000 0.5000
Li 0.0000 0.0000 0.0000
Li 0.4654 0.5000 0.2500
Li 0.5346 0.5000 0.7500
Li 0.5940 0.0000 0.7500
Ag 0.5000 0.2213 0.0000
Ag 0.9030 0.2185 0.2500
Ag 0.0970 0.2185 0.7500
Ag 0.0970 0.7815 0.7500
Ag 0.5000 0.2213 0.5000
Ag 0.5000 0.7787 0.0000
Ag 0.9030 0.7815 0.2500
Ag 0.5000 0.7787 0.5000
Y 0.0000 0.5000 0.0000
Y 0.0000 0.5000 0.5000


No. 2
Compound: ScPaSn2
Source: the Alexandria database
Functional: PBE
Structure: optimized geometry

calculated density: 8.7 g/cm³
space-group type: P4/mmm
offset from the most stable computed form: 0.7 meV/atom
E_form: -0.344 eV/atom
DOS at the Fermi energy: 4.6 states/eV per cell

Lattice parameters (Å, degrees): 4.3637 4.7362 4.7362 90.00 90.00 90.00
Last column: magnetic moment on the atom in μB.
Fractional coordinates of all 4 atoms:
Sn 0.0000 0.0000 0.5000  0.00
Sn 0.0000 0.5000 0.0000  0.00
Pa 0.5000 0.0000 0.0000  0.18
Sc 0.5000 0.5000 0.5000  0.05


No. 3
Compound: NdYHo2
Source: the Alexandria database
Functional: PBE
Structure: optimized geometry

calculated density: 7.1 g/cm³
space-group type: Fm-3m
offset from the most stable computed form: 121.3 meV/atom
E_form: 0.129 eV/atom
DOS at the Fermi energy: 8.5 states/eV per cell

Lattice parameters (Å, degrees): 5.7023 5.7023 5.7023 60.00 60.00 60.00
Fractional coordinates of all 4 atoms:
Ho 0.7500 0.7500 0.7500
Ho 0.2500 0.2500 0.2500
Nd 0.0000 0.0000 0.0000
Y 0.5000 0.5000 0.5000